## LiZr2Cl (SCAN)

Data for a PBEsol-optimized structure of LiZr2Cl.

Cell and atoms, written as POSCAR:
```
LiZr2Cl
1.0
3.2538 0.0000 0.0000
1.6269 2.8179 0.0000
1.6269 0.9393 8.9320
Cl Li Zr
1 1 2
Direct
0.4980 0.4980 0.5059 Cl
0.2389 0.2389 0.2834 Li
0.0029 0.0029 0.9913 Zr
0.7602 0.7602 0.7193 Zr
```

Values from the calculation:
Energy relative to the elements, uncorrected ... -2.477 eV per formula unit
Space-group type ... R3m (160)
Excess energy over the best structure of this formula in the dataset ... 0 meV/atom